1.
Below is crystalline Ce3PmTm2P6 at its relaxed geometry, with properties calculated at the PBE level.

Geometry as CIF:
```
data_Ce3PmTm2P6
_chemical_formula_sum 'Ce6 Pm2 Tm4 P12'
_cell_length_a 7.018
_cell_length_b 12.157
_cell_length_c 6.999
_cell_angle_alpha 90.00
_cell_angle_beta 109.55
_cell_angle_gamma 90.00
_space_group_name_H-M_alt 'C 1 2/m 1'
_space_group_IT_number 12
_space_group_name_Hall '-C 2y'
loop_
_atom_site_label
_atom_site_type_symbol
_atom_site_fract_x
_atom_site_fract_y
_atom_site_fract_z
Ce1 Ce 0.000 0.000 0.000
Ce2 Ce 0.000 0.335 0.000
Pm1 Pm 0.000 0.500 0.500
Tm1 Tm 0.000 0.167 0.500
P1 P 0.242 0.000 0.746
P2 P 0.248 0.170 0.253
```

Output
DOS(E_F) = 1.157 states/eV per atom
magnetic moment = 1.486 μB/f.u.
theoretical density = 6.4 g cm⁻³
ΔH_f (0 K) = -1541 meV per atom



2.
Below is crystalline Y8Sn3Te4Pb at its relaxed geometry, with properties calculated at the PBE level.

Geometry as CIF:
```
data_Y8Sn3Te4Pb
_chemical_formula_sum 'Y24 Sn9 Te12 Pb3'
_cell_length_a 8.8019
_cell_length_b 8.8019
_cell_length_c 21.6928
_cell_angle_alpha 90.00
_cell_angle_beta 90.00
_cell_angle_gamma 120.00
_space_group_name_H-M_alt 'R -3 m'
_space_group_IT_number 166
_space_group_name_Hall '-R 3 2"'
loop_
_atom_site_label
_atom_site_type_symbol
_atom_site_fract_x
_atom_site_fract_y
_atom_site_fract_z
Y1 Y 0.0000 0.0000 0.2454
Y2 Y 0.0020 0.5010 0.7541
Sn1 Sn 0.0000 0.5000 0.5000
Te1 Te 0.0000 0.0000 0.0000
Te2 Te 0.0000 0.5000 0.0000
Pb1 Pb 0.0000 0.0000 0.5000
```

Output
formation energy (no corrections) = -1.0483 eV/atom
DOS(E_F) = 0.219 states/eV per atom
magnetic moment = 0.000 μB/f.u.
theoretical density = 6.1 g cm⁻³



3.
Below is crystalline K2PdBr4Cl2 at its relaxed geometry, with properties calculated at the PBE level.

Geometry as CIF:
```
data_K2PdBr4Cl2
_chemical_formula_sum 'K4 Pd2 Br8 Cl4'
_cell_length_a 7.312
_cell_length_b 7.312
_cell_length_c 10.310
_cell_angle_alpha 90.00
_cell_angle_beta 90.00
_cell_angle_gamma 90.00
_space_group_name_H-M_alt 'I 4/m m m'
_space_group_IT_number 139
_space_group_name_Hall '-I 4 2'
loop_
_atom_site_label
_atom_site_type_symbol
_atom_site_fract_x
_atom_site_fract_y
_atom_site_fract_z
K1 K 0.000 0.500 0.250
Pd1 Pd 0.000 0.000 0.000
Br1 Br 0.242 0.242 0.000
Cl1 Cl 0.000 0.000 0.228
```

Output
formation energy (no corrections) = -0.9983 eV/atom
magnetic moment = 0.000 μB/f.u.
theoretical density = 3.5 g cm⁻³



4.
Below is crystalline Ca2GaSiNi6 at its relaxed geometry, with properties calculated at the PBE level.

Geometry as CIF:
```
data_Ca2GaSiNi6
_chemical_formula_sum 'Ca6 Ga3 Si3 Ni18'
_cell_length_a 6.0809
_cell_length_b 6.0809
_cell_length_c 15.6057
_cell_angle_alpha 90.00
_cell_angle_beta 90.00
_cell_angle_gamma 120.00
_space_group_name_H-M_alt 'R -3'
_space_group_IT_number 148
_space_group_name_Hall '-R 3'
loop_
_atom_site_label
_atom_site_type_symbol
_atom_site_fract_x
_atom_site_fract_y
_atom_site_fract_z
Ca1 Ca 0.0000 0.0000 0.2083
Ga1 Ga 0.0000 0.0000 0.5000
Si1 Si 0.0000 0.0000 0.0000
Ni1 Ni 0.0708 0.5327 0.2918
```

Output
formation energy (no corrections) = -0.2922 eV/atom
DOS(E_F) = 0.658 states/eV per atom
magnetic moment = 0.000 μB/f.u.
theoretical density = 5.3 g cm⁻³



5.
Below is crystalline TbPm6Ho12 at its relaxed geometry, with properties calculated at the PBE level.

Geometry as CIF:
```
data_TbPm6Ho12
_chemical_formula_sum 'Tb3 Pm18 Ho36'
_cell_length_a 11.0763
_cell_length_b 11.0763
_cell_length_c 17.4439
_cell_angle_alpha 90.00
_cell_angle_beta 90.00
_cell_angle_gamma 120.00
_space_group_name_H-M_alt 'R -3 m'
_space_group_IT_number 166
_space_group_name_Hall '-R 3 2"'
loop_
_atom_site_label
_atom_site_type_symbol
_atom_site_fract_x
_atom_site_fract_y
_atom_site_fract_z
Tb1 Tb 0.0000 0.0000 0.0000
Pm1 Pm 0.0703 0.5351 0.7665
Ho1 Ho 0.1011 0.5505 0.4137
Ho2 Ho 0.1062 0.2124 0.4085
```

Output
DOS(E_F) = 1.555 states/eV per atom
energy relative to the lowest polymorph listed for this composition = 0.0 kJ per mole of atoms
magnetic moment = 0.000 μB/f.u.
theoretical density = 8.1 g cm⁻³
ΔH_f (0 K) = 122 meV per atom



6.
Below is crystalline Pr7Ge2Au2 at its relaxed geometry, with properties calculated at the PBE level.

Geometry as CIF:
```
data_Pr7Ge2Au2
_chemical_formula_sum 'Pr14 Ge4 Au4'
_cell_length_a 8.200
_cell_length_b 11.095
_cell_length_c 7.472
_cell_angle_alpha 90.00
_cell_angle_beta 90.00
_cell_angle_gamma 90.00
_space_group_name_H-M_alt 'C m m m'
_space_group_IT_number 65
_space_group_name_Hall '-C 2 2'
loop_
_atom_site_label
_atom_site_type_symbol
_atom_site_fract_x
_atom_site_fract_y
_atom_site_fract_z
Pr1 Pr 0.000 0.000 0.000
Pr2 Pr 0.000 0.500 0.262
Pr3 Pr 0.250 0.250 0.279
Ge1 Ge 0.000 0.288 0.000
Au1 Au 0.177 0.000 0.500
```

Output
DOS(E_F) = 1.316 states/eV per atom
magnetic moment = 0.000 μB/f.u.
theoretical density = 7.5 g cm⁻³
ΔH_f (0 K) = -381 meV per atom